[1]
! FeReW2 SCAN single point on PBEsol structure; values from VASP
&SYSTEM
  ibrav = 0, nat = 4, ntyp = 3
/
ATOMIC_SPECIES
W 183.84 W.upf
Fe 55.84 Fe.upf
Re 186.21 Re.upf
ATOMIC_POSITIONS crystal
W 0.500 0.500 0.737
W 0.000 0.000 0.003
Fe 0.000 0.000 0.498
Re 0.500 0.500 0.263
CELL_PARAMETERS angstrom
2.667 0.006 0.000
-0.831 2.534 0.000
0.000 0.000 8.496
! energy relative to the lowest polymorph listed for this composition = 22 meV per atom
! spin magnetization = 0.625 μB/atom

[2]
! Y2FeRe SCAN single point on PBEsol structure; values from VASP
&SYSTEM
  ibrav = 0, nat = 4, ntyp = 3
/
ATOMIC_SPECIES
Y 88.91 Y.upf
Re 186.21 Re.upf
Fe 55.84 Fe.upf
ATOMIC_POSITIONS crystal
Y 0.500 0.500 0.316
Y 0.000 0.000 0.940
Re 0.500 0.500 0.693
Fe 0.000 0.000 0.551
CELL_PARAMETERS angstrom
3.049 0.000 0.000
0.000 3.049 0.000
0.000 0.000 8.551
! spin magnetization = 0.310 μB/atom

[3]
! YFe2Re SCAN single point on PBEsol structure; values from VASP
&SYSTEM
  ibrav = 0, nat = 4, ntyp = 3
/
ATOMIC_SPECIES
Fe 55.84 Fe.upf
Re 186.21 Re.upf
Y 88.91 Y.upf
ATOMIC_POSITIONS crystal
Fe 0.013 0.013 0.962
Fe 0.747 0.747 0.760
Re 0.487 0.487 0.540
Y 0.254 0.254 0.239
CELL_PARAMETERS angstrom
-0.753 2.183 -1.605
0.197 -0.179 -2.800
-8.490 -2.477 -1.853
! spin magnetization = 1.271 μB/atom

[4]
! ZnFeRe2 SCAN single point on PBEsol structure; values from VASP
&SYSTEM
  ibrav = 0, nat = 4, ntyp = 3
/
ATOMIC_SPECIES
Re 186.21 Re.upf
Fe 55.84 Fe.upf
Zn 65.41 Zn.upf
ATOMIC_POSITIONS crystal
Re 0.000 0.000 0.500
Re 0.000 0.500 0.000
Fe 0.500 0.500 0.500
Zn 0.500 0.000 0.000
CELL_PARAMETERS angstrom
2.617 0.000 0.000
0.000 4.710 0.021
0.000 -1.883 4.318
! spin magnetization = 0.590 μB/atom

Computed E, in the same sequence as the records: -57.07; -36.06; -33.27; -43.19 eV per atom.
Computed energy relative to the elements, in the same sequence as the records: 0.080; 0.169; 0.527; 0.272 eV per atom.